No. 1
A geometry-optimized TbSm3Th4S8 structure, computed with PBE-GGA.

Structure (POSCAR):
```
TbSm3Th4S8
1.0
3.9656 2.2895 6.7114
-3.9656 2.2895 6.7114
0.0000 -4.5791 6.7114
Tb Sm Th S
1 3 4 8
Cartesian
0.0000 0.0000 0.0000 Tb
-1.9828 -1.1448 6.7114 Sm
-1.9828 1.1448 13.4228 Sm
0.0000 2.2895 6.7114 Sm
-3.9656 0.0000 10.0671 Th
-1.9828 1.1448 3.3557 Th
1.9828 1.1448 3.3557 Th
0.0000 0.0000 10.0671 Th
0.0000 -2.3126 8.3305 S
-2.0028 1.1563 8.3305 S
-2.0028 -1.1563 11.8037 S
0.0000 0.0000 5.0767 S
0.0000 0.0000 15.0575 S
2.0028 1.1563 8.3305 S
2.0028 -1.1563 11.8037 S
0.0000 2.3126 11.8037 S
```

## Properties
- ΔE_f (raw) (kcal/mol of atoms) = -44.4

***

No. 2
A geometry-optimized ReSb2Pt structure, computed with PBE-GGA.

Structure (POSCAR):
```
ReSb2Pt
1.0
3.3145 0.0000 0.0000
-1.6573 2.8705 0.0000
0.0000 0.0000 24.3661
Re Sb Pt
3 6 3
Cartesian
0.0000 0.0000 0.0000 Re
0.0000 1.9136 16.2441 Re
1.6573 0.9568 8.1220 Re
0.0000 0.0000 6.1178 Sb
0.0000 0.0000 18.2483 Sb
0.0000 1.9136 10.1262 Sb
0.0000 1.9136 22.3619 Sb
1.6573 0.9568 2.0042 Sb
1.6573 0.9568 14.2399 Sb
0.0000 0.0000 12.1831 Pt
0.0000 1.9136 4.0610 Pt
1.6573 0.9568 20.3051 Pt
```

## Properties
- energy above the lowest structure with this stoichiometry (eV/atom) = 0.120
- ΔE_f (raw) (kcal/mol of atoms) = 6.3

***

No. 3
A geometry-optimized TlSiSe2 structure, computed with PBE-GGA.

Structure (POSCAR):
```
TlSiSe2
1.0
4.2227 0.0000 0.0000
0.0000 3.4452 0.0000
-0.9568 0.0000 7.4084
Tl Si Se
1 1 2
Cartesian
0.0000 0.0000 0.0000 Tl
1.6329 0.0000 3.7042 Si
1.1592 1.7226 5.3514 Se
2.1067 1.7226 2.0570 Se
```

## Properties
- ΔE_f (raw) (kcal/mol of atoms) = -2.3

***

No. 4
A geometry-optimized In2Se structure, computed with PBE-GGA.

Structure (POSCAR):
```
In2Se
1.0
5.3104 0.0000 0.0000
0.0000 8.2258 0.0000
0.0000 0.0000 4.1553
In Se
4 2
Cartesian
0.9205 1.2073 0.0000 In
1.7347 5.3202 2.0776 In
3.5757 2.9056 2.0776 In
4.3899 7.0185 0.0000 In
0.0000 4.1129 0.0000 Se
2.6552 0.0000 2.0776 Se
```

## Properties
- energy above the lowest structure with this stoichiometry (eV/atom) = 0.140
- ΔE_f (raw) (kcal/mol of atoms) = -3.8

***

No. 5
A geometry-optimized Na2TaHgBi structure, computed with PBE-GGA.

Structure (POSCAR):
```
Na2TaHgBi
1.0
6.2941 0.0000 0.0000
0.0000 6.2941 0.0000
0.0000 0.0000 5.3987
Na Ta Hg Bi
2 1 1 1
Cartesian
0.0000 3.1470 0.0000 Na
3.1470 0.0000 0.0000 Na
0.0000 0.0000 0.0000 Ta
3.1470 3.1470 2.6994 Hg
0.0000 0.0000 2.6994 Bi
```

## Properties
- ΔE_f (eV per atom) = 0.837

***

No. 6
A geometry-optimized Na3VSn3S8 structure, computed with PBE-GGA.

Structure (POSCAR):
```
Na3VSn3S8
1.0
3.8040 2.1962 6.8115
-3.8040 2.1962 6.8115
0.0000 -4.3925 6.8115
Na V Sn S
3 1 3 8
Cartesian
-1.9020 -1.0981 6.8115 Na
-1.9020 1.0981 13.6229 Na
0.0000 2.1962 6.8114 Na
0.0000 0.0000 10.2172 V
-3.8040 0.0000 10.2172 Sn
-1.9020 1.0981 3.4057 Sn
1.9020 1.0981 3.4057 Sn
0.0000 0.0000 5.0033 S
-1.7470 -1.0086 11.5759 S
0.0000 -2.0172 8.8585 S
-1.7470 1.0086 8.8585 S
1.7470 -1.0086 11.5759 S
0.0000 2.0172 11.5759 S
1.7470 1.0086 8.8585 S
0.0000 0.0000 15.4311 S
```

## Properties
- ΔE_f (raw) (kcal/mol of atoms) = -17.7

***

No. 7
A geometry-optimized Be2SiSb structure, computed with PBE-GGA.

Structure (POSCAR):
```
Be2SiSb
1.0
3.9011 0.0000 0.0000
0.0000 4.9242 0.0000
0.0000 0.0000 6.4655
Be Si Sb
4 2 2
Cartesian
0.0000 0.0000 1.1424 Be
0.0000 0.0000 5.3231 Be
1.9506 2.4621 1.1424 Be
1.9506 2.4621 5.3231 Be
0.0000 2.4621 0.0000 Si
1.9506 0.0000 0.0000 Si
0.0000 2.4621 3.2327 Sb
1.9506 0.0000 3.2327 Sb
```

## Properties
- energy above the lowest structure with this stoichiometry (eV/atom) = 0.263
- ΔE_f (raw) (kcal/mol of atoms) = 13.4

***

No. 8
A geometry-optimized CaMnRe2Cl structure, computed with PBE-GGA.

Structure (POSCAR):
```
CaMnRe2Cl
1.0
4.4245 0.0000 0.0000
0.0000 4.4245 0.0000
0.0000 0.0000 4.8781
Ca Mn Re Cl
1 1 2 1
Cartesian
0.0000 0.0000 0.0000 Ca
2.2123 2.2123 0.0000 Mn
0.0000 2.2123 2.4390 Re
2.2123 0.0000 2.4390 Re
0.0000 0.0000 2.4390 Cl
```

## Properties
- ΔE_f (raw) (kcal/mol of atoms) = 28.9

***

No. 9
A geometry-optimized HoTmSeS structure, computed with PBE-GGA.

Structure (POSCAR):
```
HoTmSeS
1.0
3.8520 0.0000 0.0000
-1.9260 3.3359 0.0000
0.0000 0.0000 20.5178
Ho Tm Se S
3 3 3 3
Cartesian
0.0000 0.0000 0.0000 Ho
0.0000 2.2240 13.6785 Ho
1.9260 1.1120 6.8392 Ho
0.0000 0.0000 3.7950 Tm
0.0000 2.2240 17.4735 Tm
1.9260 1.1120 10.6342 Tm
0.0000 0.0000 8.7339 Se
0.0000 2.2240 1.8946 Se
1.9260 1.1120 15.5731 Se
0.0000 0.0000 12.1762 S
0.0000 2.2240 5.3370 S
1.9260 1.1120 19.0155 S
```

## Properties
- ΔE_f (raw) (kcal/mol of atoms) = -42.5

***

No. 10
A geometry-optimized LiScTc2 structure, computed with PBE-GGA.

Structure (POSCAR):
```
LiScTc2
1.0
8.4714 0.0000 0.0000
0.0000 3.0268 0.0000
-0.7601 0.0000 5.0360
Li Sc Tc
2 2 4
Cartesian
0.0000 0.0000 0.0000 Li
4.2357 1.5134 0.0000 Li
2.0013 1.5134 1.2159 Sc
6.2370 0.0000 1.2159 Sc
-0.2666 1.5134 2.8356 Tc
1.6121 0.0000 3.6854 Tc
3.9690 0.0000 2.8356 Tc
5.8477 1.5134 3.6854 Tc
```

## Properties
- energy above the lowest structure with this stoichiometry (eV/atom) = 0.208
- ΔE_f (eV per atom) = 0.167

***

No. 11
A geometry-optimized NdSc2Bi3 structure, computed with PBE-GGA.

Structure (POSCAR):
```
NdSc2Bi3
1.0
4.4158 0.0000 0.0000
0.0000 4.4158 0.0000
0.0000 0.0000 18.5156
Nd Sc Bi
2 4 6
Cartesian
0.0000 0.0000 0.0000 Nd
2.2079 2.2079 9.2578 Nd
0.0000 0.0000 6.2084 Sc
0.0000 0.0000 12.3073 Sc
2.2079 2.2079 3.0494 Sc
2.2079 2.2079 15.4662 Sc
0.0000 0.0000 3.2136 Bi
0.0000 0.0000 9.2578 Bi
0.0000 0.0000 15.3021 Bi
2.2079 2.2079 0.0000 Bi
2.2079 2.2079 6.0442 Bi
2.2079 2.2079 12.4714 Bi
```

## Properties
- ΔE_f (eV per atom) = -0.711

***

Number 4 is which compound?
In2Se

***

What is the formula in the sixth record?
Na3VSn3S8